No. 1
This record from Alexandria describes crystalline LiVAg3 at its relaxed geometry. The functional is PBE.

abc: 4.476 4.476 4.476
angles: 90.00 90.00 90.00
Positions (direct):
Ag1 0.500 0.000 0.000
Ag2 0.000 0.500 0.000
Ag3 0.000 0.000 0.500
Li1 0.000 0.000 0.000
V1 0.500 0.500 0.500

## Properties
Formation enthalpy at 0 K: 0.606 eV per atom
E_tot: -3.312 eV/atom
Calculated volume: 89.6 Å³/cell

---

No. 2
This record from Alexandria describes crystalline Li2VAg at its relaxed geometry. The functional is PBE.

abc: 7.131 7.131 5.751
angles: 51.68 51.68 90.00
Positions (direct):
Li1 0.875 0.895 0.750
Li2 0.105 0.625 0.250
Li3 0.645 0.125 0.250
Li4 0.375 0.355 0.750
V1 0.500 0.500 0.000
V2 0.250 0.750 0.500
Ag1 0.000 0.000 0.000
Ag2 0.750 0.250 0.500

## Properties
Formation enthalpy at 0 K: 0.528 eV per atom
E_tot: -3.421 eV/atom
Calculated volume: 140.6 Å³/cell

---

No. 3
This record from Alexandria describes crystalline Li3VAg at its relaxed geometry. The functional is PBE.

abc: 4.752 4.752 4.752
angles: 90.00 90.00 90.00
Positions (direct):
Li1 0.500 0.000 0.000
Li2 0.000 0.500 0.000
Li3 0.000 0.000 0.500
V1 0.500 0.500 0.500
Ag1 0.000 0.000 0.000

## Properties
Formation enthalpy at 0 K: 0.655 eV per atom
E_tot: -2.887 eV/atom
Calculated volume: 107.3 Å³/cell

---

No. 4
This record from Alexandria describes crystalline LiZrVAg2 at its relaxed geometry. The functional is PBE.

abc: 4.352 4.878 4.352
angles: 90.00 90.00 90.00
Positions (direct):
Li1 0.000 0.000 0.000
Ag1 0.000 0.000 0.500
Ag2 0.500 0.000 0.000
V1 0.500 0.500 0.500
Zr1 0.000 0.500 0.000

## Properties
Formation enthalpy at 0 K: 0.765 eV per atom
E_tot: -4.292 eV/atom
Calculated volume: 92.4 Å³/cell